Entry from Alexandria via LeMat-Bulk: an optimized crystal structure of Mg2NiMo3S8 (PBE).

Summary:
Formation energy (no corrections) (meV/atom): -582
Space-group type: No. 166
DOS at the Fermi energy (states/eV/atom): 0.561

abc: 7.3130 7.3131 7.3134
angles: 60.39 60.39 60.40
With the nearest neighbours (Å) after each atom.
Sites, in units of the cell vectors:
Mg  0.8801  0.8801  0.8801  4 S 2.46-2.48
Mg  0.1199  0.1199  0.1199  4 S 2.46-2.48
Ni  0.5000  0.5000  0.5000  6 S 2.43
Mo  0.5000  0.5000  0.0000  6 S 2.48-2.51
Mo  0.0000  0.5000  0.5000  6 S 2.48-2.51
Mo  0.5000  0.0000  0.5000  6 S 2.48-2.51
S  0.7413  0.7412  0.7413  1 Mg 2.48, 3 Mo 2.51
S  0.2658  0.2658  0.7112  1 Ni 2.43, 1 Mg 2.46, 2 Mo 2.48
S  0.2658  0.7111  0.2658  1 Ni 2.43, 1 Mg 2.46, 2 Mo 2.48
S  0.7111  0.2658  0.2658  1 Ni 2.43, 1 Mg 2.46, 2 Mo 2.48
S  0.7342  0.2889  0.7342  1 Ni 2.43, 1 Mg 2.46, 2 Mo 2.48
S  0.2888  0.7342  0.7342  1 Ni 2.43, 1 Mg 2.46, 2 Mo 2.48
S  0.2587  0.2588  0.2587  1 Mg 2.48, 3 Mo 2.51
S  0.7342  0.7342  0.2889  1 Ni 2.43, 1 Mg 2.46, 2 Mo 2.48


Entry from Alexandria via LeMat-Bulk: an optimized crystal structure of Pu3Si9Os2 (PBE).

Summary:
Formation energy (no corrections) (meV/atom): -287
Space-group type: No. 164
DOS at the Fermi energy (states/eV/atom): 1.345
Energy relative to the lowest polymorph listed for this composition (meV/atom): 76

abc: 5.8924 5.8924 8.0325
angles: 90.00 90.01 120.00
With the nearest neighbours (Å) after each atom.
Sites, in units of the cell vectors:
Pu  0.6666  0.3333  0.6689  12 Si 2.98-3.16
Pu  0.0000  0.0000  0.0000  12 Si 2.95-3.30
Pu  0.3334  0.6667  0.3311  12 Si 2.98-3.16
Si  0.1378  0.8622  0.6285  1 Os 2.32, 4 Si 2.44-2.50
Si  0.1378  0.2756  0.6285  1 Os 2.32, 4 Si 2.44-2.50
Si  0.5000  0.5000  0.0000  2 Os 2.47
Si  0.8622  0.7244  0.3715  1 Os 2.32, 4 Si 2.44-2.50
Si  0.2757  0.1378  0.3715  1 Os 2.32, 4 Si 2.44-2.50
Si  0.7243  0.8622  0.6285  1 Os 2.32, 4 Si 2.44-2.50
Si  0.8622  0.1378  0.3715  1 Os 2.32, 4 Si 2.44-2.50
Si  0.0000  0.5000  0.0000  2 Os 2.47
Si  0.5000  0.0000  0.0000  2 Os 2.47
Os  0.6667  0.3333  0.2236  6 Si 2.32-2.47
Os  0.3333  0.6667  0.7764  6 Si 2.32-2.47